W3SO | GGA+U | optimized geometry

Values from the calculation:
N(E_F), states/eV per cell: 3.2
Energy relative to the lowest polymorph listed for this composition, meV/atom: 0.0
Symmetry: Pm-3m, No. 221

Lattice parameters (Å, degrees): 4.2371 4.2371 4.2371 90.00 90.00 90.00
Closest atoms and distances in Å follow each position.
Fractional coordinates of all 5 atoms:
W1 0.0000 0.0000 0.5000  2 O 2.12
O1 0.0000 0.0000 0.0000  6 W 2.12
S1 0.5000 0.5000 0.5000  12 W 3.00
W2 0.5000 0.0000 0.0000  2 O 2.12
W3 0.0000 0.5000 0.0000  2 O 2.12